Entry 1:
TiIn | PBE-GGA | relaxed

Cell lengths 8.6287, 8.6287, 8.6287 Å; angles 90.00, 90.00, 90.00 degrees
Atoms (fractional coordinates):
Ti: 0.1089 0.1089 0.1089
Ti: 0.1089 0.8911 0.8911
Ti: 0.3911 0.3911 0.6089
Ti: 0.3911 0.6089 0.3911
Ti: 0.6089 0.3911 0.3911
Ti: 0.6089 0.6089 0.6089
Ti: 0.8911 0.1089 0.8911
Ti: 0.8911 0.8911 0.1089
In: 0.2007 0.2007 0.7993
In: 0.2007 0.7993 0.2007
In: 0.2993 0.2993 0.2993
In: 0.2993 0.7007 0.7007
In: 0.7007 0.2993 0.7007
In: 0.7007 0.7007 0.2993
In: 0.7993 0.2007 0.2007
In: 0.7993 0.7993 0.7993

## Properties
As for the space-group type: I-43m, No. 217. Its formation energy is 0.8579 eV per atom.

=====

Entry 2:
PuInHgBi | PBE-GGA | relaxed

Cell lengths 7.6606, 7.6606, 7.6606 Å; angles 90.00, 90.00, 90.00 degrees
Atoms (fractional coordinates):
Pu: 0.0000 0.0000 0.0000
Pu: 0.0000 0.5000 0.5000
Pu: 0.5000 0.0000 0.5000
Pu: 0.5000 0.5000 0.0000
In: 0.0000 0.0000 0.5000
In: 0.0000 0.5000 0.0000
In: 0.5000 0.0000 0.0000
In: 0.5000 0.5000 0.5000
Hg: 0.2500 0.2500 0.2500
Hg: 0.2500 0.7500 0.7500
Hg: 0.7500 0.2500 0.7500
Hg: 0.7500 0.7500 0.2500
Bi: 0.2500 0.2500 0.7500
Bi: 0.2500 0.7500 0.2500
Bi: 0.7500 0.2500 0.2500
Bi: 0.7500 0.7500 0.7500

## Properties
As for the space-group type: F-43m, No. 216. As for the distance to the lowest polymorph of the same formula: 141 meV/atom. Its formation energy is -0.1117 eV per atom.

=====

Entry 3:
CaTb3Pr4S8 | PBE-GGA | relaxed

Cell lengths 8.1084, 8.1084, 8.1084 Å; angles 59.15, 59.15, 59.15 degrees
Atoms (fractional coordinates):
Ca: 0.0000 0.0000 0.0000
Tb: 0.0000 0.5000 0.5000
Tb: 0.5000 0.0000 0.5000
Tb: 0.5000 0.5000 0.0000
Pr: 0.0000 0.0000 0.5000
Pr: 0.0000 0.5000 0.0000
Pr: 0.5000 0.0000 0.0000
Pr: 0.5000 0.5000 0.5000
S: 0.2451 0.2451 0.7436
S: 0.2451 0.7436 0.2451
S: 0.2557 0.2557 0.2557
S: 0.2564 0.7549 0.7549
S: 0.7436 0.2451 0.2451
S: 0.7443 0.7443 0.7443
S: 0.7549 0.2564 0.7549
S: 0.7549 0.7549 0.2564

## Properties
As for the space-group type: R-3m, No. 166. The formation energy without anion corrections is -195 kJ per mole of atoms.

=====

Entry 4:
LiNi2Rh2 | PBE-GGA | relaxed

Cell lengths 7.2745, 7.2745, 2.6402 Å; angles 90.00, 90.00, 90.00 degrees
Atoms (fractional coordinates):
Li: 0.0000 0.0000 0.0000
Li: 0.5000 0.5000 0.0000
Ni: 0.1709 0.3291 0.5000
Ni: 0.3291 0.8291 0.5000
Ni: 0.6709 0.1709 0.5000
Ni: 0.8291 0.6709 0.5000
Rh: 0.1279 0.6279 0.0000
Rh: 0.3721 0.1279 0.0000
Rh: 0.6279 0.8721 0.0000
Rh: 0.8721 0.3721 0.0000

## Properties
As for the space-group type: P4/mbm, No. 127. As for the distance to the lowest polymorph of the same formula: 15 meV/atom. Its formation energy is 0.0788 eV per atom.

=====

Entry 5:
BC5 | PBE-GGA | relaxed

Cell lengths 4.4699, 4.4699, 4.4222 Å; angles 99.38, 99.38, 120.01 degrees
Atoms (fractional coordinates):
B: 0.0818 0.9182 0.5000
B: 0.9182 0.0818 0.0000
C: 0.1209 0.6095 0.6168
C: 0.2476 0.7451 0.9922
C: 0.2989 0.4630 0.1193
C: 0.4142 0.5812 0.4929
C: 0.4630 0.2989 0.6193
C: 0.5812 0.4142 0.9929
C: 0.6095 0.1209 0.1168
C: 0.7451 0.2476 0.4922
C: 0.7712 0.9504 0.6029
C: 0.9504 0.7712 0.1029

## Properties
As for the space-group type: Cc, No. 9. As for the distance to the lowest polymorph of the same formula: 70 meV/atom. Its formation energy is 0.2793 eV per atom.

=====

Entry 6:
Cs2Cr2H7 | PBE-GGA | relaxed

Cell lengths 4.7591, 4.7591, 6.5045 Å; angles 90.00, 90.00, 94.46 degrees
Atoms (fractional coordinates):
Cs: 0.2481 0.2481 0.0000
Cs: 0.7519 0.7519 0.0000
Cr: 0.2746 0.7254 0.5000
Cr: 0.7254 0.2746 0.5000
H: 0.0000 0.0000 0.5000
H: 0.0000 0.5000 0.3486
H: 0.0000 0.5000 0.6514
H: 0.5000 0.0000 0.3486
H: 0.5000 0.0000 0.6514
H: 0.5000 0.5000 0.3532
H: 0.5000 0.5000 0.6468

## Properties
As for the space-group type: Cmmm, No. 65.

=====

Entry 7:
ScTaCN | PBE-GGA | relaxed

Cell lengths 3.1337, 3.1337, 16.5135 Å; angles 90.00, 90.00, 120.00 degrees
Atoms (fractional coordinates):
Sc: 0.0000 0.0000 0.0000
Sc: 0.3333 0.6667 0.6667
Sc: 0.6667 0.3333 0.3333
Ta: 0.0000 0.0000 0.1767
Ta: 0.3333 0.6667 0.8434
Ta: 0.6667 0.3333 0.5101
C: 0.0000 0.0000 0.5830
C: 0.3333 0.6667 0.2497
C: 0.6667 0.3333 0.9164
N: 0.0000 0.0000 0.7629
N: 0.3333 0.6667 0.4296
N: 0.6667 0.3333 0.0962

## Properties
As for the space-group type: R3m, No. 160. The formation energy without anion corrections is -92 kJ per mole of atoms.

=====

Entry 8:
La2ZnPdAu6 | PBE-GGA | relaxed

Cell lengths 5.3907, 6.2592, 7.1658 Å; angles 86.05, 70.00, 77.82 degrees
Atoms (fractional coordinates):
La: 0.1843 0.2177 0.2598
La: 0.8157 0.7823 0.7402
Zn: 0.5000 0.5000 0.5000
Pd: 0.0000 0.0000 0.0000
Au: 0.1978 0.7173 0.2869
Au: 0.2837 0.5687 0.8942
Au: 0.3487 0.1419 0.6625
Au: 0.6513 0.8581 0.3375
Au: 0.7163 0.4313 0.1058
Au: 0.8022 0.2827 0.7131

## Properties
As for the space-group type: P-1, No. 2. Its formation energy is -0.5059 eV per atom.

=====

Entry 9:
AlCd2Re | PBE-GGA | relaxed

Cell lengths 2.8225, 3.9961, 6.5264 Å; angles 90.00, 90.00, 90.00 degrees
Atoms (fractional coordinates):
Al: 0.0000 0.0000 0.0000
Cd: 0.0000 0.0000 0.5714
Cd: 0.5000 0.5000 0.2988
Re: 0.5000 0.5000 0.8547

## Properties
As for the space-group type: Pmm2, No. 25. Its formation energy is 0.2898 eV per atom.

=====

Entry 10:
Tc2BPb | PBE-GGA | relaxed

Cell lengths 4.6263, 4.6263, 14.1899 Å; angles 90.00, 90.00, 90.00 degrees
Atoms (fractional coordinates):
Tc: 0.0952 0.2500 0.1250
Tc: 0.2500 0.5952 0.3750
Tc: 0.2500 0.9048 0.8750
Tc: 0.4048 0.2500 0.6250
Tc: 0.5952 0.7500 0.6250
Tc: 0.7500 0.0952 0.8750
Tc: 0.7500 0.4048 0.3750
Tc: 0.9048 0.7500 0.1250
B: 0.0000 0.0000 0.0000
B: 0.0000 0.5000 0.2500
B: 0.5000 0.0000 0.7500
B: 0.5000 0.5000 0.5000
Pb: 0.0000 0.0000 0.5000
Pb: 0.0000 0.5000 0.7500
Pb: 0.5000 0.0000 0.2500
Pb: 0.5000 0.5000 0.0000

## Properties
As for the space-group type: I-42d, No. 122. As for the distance to the lowest polymorph of the same formula: 0 meV/atom. Its formation energy is 0.9012 eV per atom.

=====

Entry 11:
ZrNpBi | PBE-GGA | relaxed

Cell lengths 3.2874, 3.2874, 17.4363 Å; angles 90.00, 90.00, 120.00 degrees
Atoms (fractional coordinates):
Zr: 0.3333 0.6667 0.0733
Zr: 0.6667 0.3333 0.9267
Np: 0.3333 0.6667 0.7735
Np: 0.6667 0.3333 0.2265
Bi: 0.0000 0.0000 0.3917
Bi: 0.0000 0.0000 0.6083

## Properties
As for the space-group type: P-3m1, No. 164. Its formation energy is 0.2840 eV per atom.

=====

Entry 12:
Mg2NpPbO6 | PBE-GGA | relaxed

Cell lengths 5.9624, 5.9624, 5.9624 Å; angles 55.82, 55.82, 55.82 degrees
Atoms (fractional coordinates):
Mg: 0.0000 0.0000 0.0000
Mg: 0.4831 0.4831 0.4831
Np: 0.7923 0.7923 0.7923
Pb: 0.2701 0.2701 0.2701
O: 0.0662 0.3910 0.7275
O: 0.1897 0.8193 0.6386
O: 0.3910 0.7275 0.0662
O: 0.6386 0.1897 0.8193
O: 0.7275 0.0662 0.3910
O: 0.8193 0.6386 0.1897

## Properties
As for the space-group type: R3, No. 146. The formation energy without anion corrections is -229 kJ per mole of atoms.

=====

Entry 13:
Er2PaWN6 | PBE-GGA | relaxed

Cell lengths 5.8782, 5.8782, 5.8782 Å; angles 58.26, 58.26, 58.26 degrees
Atoms (fractional coordinates):
Er: 0.0000 0.0000 0.0000
Er: 0.4980 0.4980 0.4980
Pa: 0.7258 0.7258 0.7258
W: 0.2251 0.2251 0.2251
N: 0.0905 0.8573 0.4125
N: 0.3484 0.5494 0.9543
N: 0.4125 0.0905 0.8573
N: 0.5494 0.9543 0.3484
N: 0.8573 0.4125 0.0905
N: 0.9543 0.3484 0.5494

## Properties
As for the space-group type: R3, No. 146. The formation energy without anion corrections is -105 kJ per mole of atoms.

=====

Entry 14:
Ba4InP | PBE-GGA | relaxed

Cell lengths 9.2329, 9.2329, 7.9198 Å; angles 107.49, 107.49, 110.05 degrees
Atoms (fractional coordinates):
Ba: 0.0547 0.7277 0.9310
Ba: 0.2193 0.3413 0.7091
Ba: 0.2723 0.9453 0.5690
Ba: 0.3413 0.2193 0.2091
Ba: 0.6587 0.7807 0.7909
Ba: 0.7277 0.0547 0.4310
Ba: 0.7807 0.6587 0.2909
Ba: 0.9453 0.2723 0.0690
In: 0.3648 0.6352 0.2500
In: 0.6352 0.3648 0.7500
P: 0.0030 0.9970 0.7500
P: 0.9970 0.0030 0.2500

## Properties
As for the space-group type: C2/c, No. 15. As for the distance to the lowest polymorph of the same formula: 0 meV/atom. Its formation energy is -0.5244 eV per atom.

=====

Entry 15:
MgIrSe2 | PBE-GGA | relaxed

Cell lengths 3.7254, 3.7254, 5.3499 Å; angles 90.00, 90.00, 90.00 degrees
Atoms (fractional coordinates):
Mg: 0.0000 0.0000 0.0000
Ir: 0.5000 0.5000 0.5602
Se: 0.0000 0.0000 0.5043
Se: 0.5000 0.5000 0.0578

## Properties
As for the space-group type: P4mm, No. 99. The formation energy without anion corrections is -33 kJ per mole of atoms.

=====

Entry 16:
CdC2IBr | PBE-GGA | relaxed

Cell lengths 4.3865, 4.3865, 7.1835 Å; angles 90.00, 90.00, 90.00 degrees
Atoms (fractional coordinates):
Cd: 0.0000 0.0000 0.0000
C: 0.0000 0.5000 0.0000
C: 0.5000 0.0000 0.0000
I: 0.0000 0.0000 0.5000
Br: 0.5000 0.5000 0.5000

## Properties
As for the space-group type: P4/mmm, No. 123. The formation energy without anion corrections is 222 kJ per mole of atoms.

=====

Entry 17:
Tb2SiPb | PBE-GGA | relaxed

Cell lengths 4.0195, 4.0195, 24.4602 Å; angles 90.00, 90.00, 120.00 degrees
Atoms (fractional coordinates):
Tb: 0.0000 0.0000 0.2341
Tb: 0.0000 0.0000 0.7659
Tb: 0.3333 0.6667 0.4326
Tb: 0.3333 0.6667 0.9007
Tb: 0.6667 0.3333 0.0993
Tb: 0.6667 0.3333 0.5674
Si: 0.0000 0.0000 0.5000
Si: 0.3333 0.6667 0.1667
Si: 0.6667 0.3333 0.8333
Pb: 0.0000 0.0000 0.0000
Pb: 0.3333 0.6667 0.6667
Pb: 0.6667 0.3333 0.3333

## Properties
As for the space-group type: R-3m, No. 166. The formation energy without anion corrections is -47 kJ per mole of atoms.

=====

Entry 18:
La2CoPbAu | PBE-GGA | relaxed

Cell lengths 5.1648, 5.1648, 4.9970 Å; angles 90.00, 90.00, 90.00 degrees
Atoms (fractional coordinates):
La: 0.0000 0.5000 0.0000
La: 0.5000 0.0000 0.0000
Co: 0.0000 0.0000 0.0000
Pb: 0.5000 0.5000 0.5000
Au: 0.0000 0.0000 0.5000

## Properties
As for the space-group type: P4/mmm, No. 123. Its formation energy is -0.3411 eV per atom.

=====

Entry 19:
TaCrH2 | PBE-GGA | relaxed

Cell lengths 5.2344, 5.2344, 5.2344 Å; angles 90.00, 90.00, 90.00 degrees
Atoms (fractional coordinates):
Ta: 0.0000 0.0000 0.0000
Ta: 0.0000 0.5000 0.5000
Ta: 0.5000 0.0000 0.5000
Ta: 0.5000 0.5000 0.0000
Cr: 0.0000 0.0000 0.5000
Cr: 0.0000 0.5000 0.0000
Cr: 0.5000 0.0000 0.0000
Cr: 0.5000 0.5000 0.5000
H: 0.2500 0.2500 0.2500
H: 0.2500 0.2500 0.7500
H: 0.2500 0.7500 0.2500
H: 0.2500 0.7500 0.7500
H: 0.7500 0.2500 0.2500
H: 0.7500 0.2500 0.7500
H: 0.7500 0.7500 0.2500
H: 0.7500 0.7500 0.7500

## Properties
As for the space-group type: Fm-3m, No. 225. As for the distance to the lowest polymorph of the same formula: 566 meV/atom.

=====

Entry 20:
Pr2Dy3TmSe6 | PBE-GGA | relaxed

Cell lengths 9.2372, 9.2372, 8.3292 Å; angles 103.05, 103.05, 25.65 degrees
Atoms (fractional coordinates):
Pr: 0.1696 0.1696 0.3374
Pr: 0.8304 0.8304 0.6626
Dy: 0.1725 0.1725 0.8347
Dy: 0.5000 0.5000 0.5000
Dy: 0.8275 0.8275 0.1653
Tm: 0.5000 0.5000 0.0000
Se: 0.0048 0.0048 0.7571
Se: 0.3377 0.3377 0.9298
Se: 0.3388 0.3388 0.4071
Se: 0.6612 0.6612 0.5929
Se: 0.6623 0.6623 0.0702
Se: 0.9952 0.9952 0.2429

## Properties
As for the space-group type: C2/m, No. 12. The formation energy without anion corrections is -170 kJ per mole of atoms.

=====

no.,VASP energy (eV per atom),total magnetic moment (μB per cell)
1,-4.459,5.0
2,-5.425,23.6
3,-6.276,0.0
4,-5.557,3.7
5,-8.520,0.0
6,-3.871,6.6
7,-9.890,0.0
8,-4.105,0.0
9,-4.215,0.0
10,-6.878,0.0
11,-8.173,7.9
12,-7.333,1.0
13,-9.237,0.0
14,-3.164,0.1
15,-4.695,0.0
16,-2.212,3.2
17,-5.088,0.0
18,-5.130,0.0
19,-6.510,5.8
20,-5.826,0.0